This record from the Alexandria database describes a relaxed structure of Cr4NiW. The functional is PBE.

Properties
Total moment in μB per formula unit: 0.000
Calculated formation energy in eV/f.u.: 0.9

Cell lengths 4.729, 4.729, 4.729 Å; angles 60.00, 60.00, 60.00 degrees
Fractional positions:
Cr 0.876 0.375 0.375
Cr 0.375 0.876 0.375
Cr 0.375 0.375 0.876
Cr 0.375 0.375 0.375
Ni 0.750 0.750 0.750
W 0.000 0.000 0.000